1.
Computed, not measured: crystalline MnSe at its relaxed geometry at the PBE level of DFT.

Properties
- Calculated density: 3.5 g cm⁻³
- Formation energy from raw total energies: -296 meV/atom

Unit cell a=10.0957 b=10.0957 c=4.3177 alpha=90.00 beta=90.00 gamma=120.00
Closest atoms and distances in Å follow each position.
Space group P6_3/m (No. 176)
Symmetry-distinct sites (fractional):
Mn  0.0725  0.4171  0.2500 [6 per cell]  4 Se 2.54-2.61
Se  0.0864  0.6828  0.2500 [6 per cell]  4 Mn 2.54-2.61

***

2.
Computed, not measured: crystalline Dy12Tm2Sc at its relaxed geometry at the PBE level of DFT.

Properties
- Calculated density: 8.3 g cm⁻³
- Energy of formation from the pure elements: 0.123 eV per atom

Unit cell a=6.9261 b=11.2258 c=24.2803 alpha=90.00 beta=96.98 gamma=90.00
Closest atoms and distances in Å follow each position.
Space group C2/m (No. 12)
Symmetry-distinct sites (fractional):
Dy  0.0433  0.2203  0.4331 [8 per cell]  7 Dy 3.37-3.62, 3 Sc 3.40-3.60
Dy  0.1014  0.2390  0.9439 [8 per cell]  10 Dy 3.21-3.47
Dy  0.1318  0.5000  0.6140 [4 per cell]  8 Dy 3.30-3.68, 2 Sc 3.33-3.38
Dy  0.1499  0.5000  0.0794 [4 per cell]  8 Dy 3.27-3.62, 1 Tm 3.62
Dy  0.1598  0.0000  0.6566 [4 per cell]  8 Dy 3.45-3.68, 2 Tm 3.49-3.55, 1 Sc 3.52
Dy  0.1676  0.0000  0.0710 [4 per cell]  6 Dy 3.26-3.62
Dy  0.1949  0.2165  0.3024 [8 per cell]  6 Dy 3.19-3.54, 1 Tm 3.55
Dy  0.1982  0.2602  0.1726 [8 per cell]  6 Dy 3.19-3.51, 3 Tm 3.34-3.51
Tm  0.0290  0.0000  0.7912 [4 per cell]  8 Dy 3.34-3.62, 2 Tm 3.40-3.60
Tm  0.0348  0.5000  0.7700 [4 per cell]  2 Tm 3.40-3.60, 7 Dy 3.51-3.65
Sc  0.2491  0.0000  0.5169 [4 per cell]  9 Dy 3.33-3.60, 2 Sc 3.45-3.67

***

3.
Computed, not measured: crystalline AcSmO2 at its relaxed geometry at the PBE level of DFT.

Properties
- Calculated density: 9.4 g cm⁻³
- Polymorph energy (0 for the lowest one): 0.64 eV per formula unit
- Formation energy from raw total energies: -2528 meV/atom

Unit cell a=3.6287 b=3.6287 c=18.9748 alpha=90.00 beta=90.00 gamma=120.00
Closest atoms and distances in Å follow each position.
Space group R3m (No. 160, hexagonal axes)
Symmetry-distinct sites (fractional):
Ac  0.0000  0.0000  0.0000 [3 per cell]  6 O 2.73-2.86
Sm  0.0000  0.0000  0.1770 [3 per cell]  6 O 2.42-2.53
O  0.0000  0.0000  0.5742 [3 per cell]  3 Sm 2.42
O  0.0000  0.0000  0.7689 [3 per cell]  3 Sm 2.53

***

4.
Computed, not measured: crystalline Ac2SiNiPd6 at its relaxed geometry at the PBE level of DFT.

Properties
- Calculated density: 9.5 g cm⁻³
- Formation energy from raw total energies: -672 meV/atom

Unit cell a=11.8535 b=5.5824 c=8.2519 alpha=90.00 beta=131.15 gamma=90.00
Closest atoms and distances in Å follow each position.
Space group C2/m (No. 12)
Symmetry-distinct sites (fractional):
Ac  0.2343  0.0000  0.1991 [4 per cell]  9 Pd 3.13-3.44, 2 Ni 3.49
Si  0.0000  0.0000  0.5000 [2 per cell]  6 Pd 2.41-2.45
Ni  0.0000  0.5000  0.0000 [2 per cell]  6 Pd 2.55-2.57
Pd  0.0033  0.2540  0.2664 [8 per cell]  1 Si 2.41, 1 Ni 2.57
Pd  0.2499  0.0000  0.6144 [4 per cell]  1 Si 2.45, 1 Ni 2.55

***

5.
Computed, not measured: crystalline HfCrCuS4 at its relaxed geometry at the PBE level of DFT.

Properties
- Calculated density: 4.6 g cm⁻³
- Polymorph energy (0 for the lowest one): 0.97 eV per formula unit
- Formation energy from raw total energies: -864 meV/atom

Unit cell a=3.5917 b=12.8671 c=13.0725 alpha=90.00 beta=90.00 gamma=90.00
Closest atoms and distances in Å follow each position.
Space group Pmn2_1 (No. 31)
Symmetry-distinct sites (fractional):
Hf  0.0000  0.0718  0.0000 [2 per cell]  6 S 2.48-2.64
Hf  0.0000  0.6256  0.1443 [2 per cell]  5 S 2.35-2.55
Cr  0.0000  0.2417  0.4754 [2 per cell]  6 S 2.37-2.48
Cr  0.0000  0.7744  0.6749 [2 per cell]  5 S 2.33-2.43
Cu  0.0000  0.3929  0.1934 [2 per cell]  4 S 2.27-2.47
Cu  0.0000  0.9816  0.2260 [2 per cell]  3 S 2.21-2.24
S  0.0000  0.2397  0.6619 [2 per cell]  1 Cr 2.44, 2 Hf 2.51
S  0.0000  0.2446  0.2909 [2 per cell]  1 Cu 2.30, 3 Cr 2.36-2.41
S  0.0000  0.2629  0.0546 [2 per cell]  2 Cr 2.43, 1 Cu 2.47, 1 Hf 2.56
S  0.0000  0.4995  0.7072 [2 per cell]  2 Cu 2.27, 2 Hf 2.55
S  0.0000  0.6262  0.9642 [2 per cell]  1 Hf 2.35, 2 Cr 2.48
S  0.0000  0.8790  0.9720 [2 per cell]  2 Cr 2.37, 1 Hf 2.51
S  0.0000  0.8961  0.3729 [2 per cell]  1 Cu 2.21
S  0.0000  0.9528  0.6461 [2 per cell]  2 Cu 2.24, 1 Cr 2.33

***

6.
Computed, not measured: crystalline Tb6BiSe5 at its relaxed geometry at the PBE level of DFT.

Properties
- Calculated density: 8.4 g cm⁻³
- Formation energy from raw total energies: -1607 meV/atom

Unit cell a=7.2021 b=12.4619 c=7.2508 alpha=90.00 beta=109.39 gamma=90.00
Closest atoms and distances in Å follow each position.
Space group C2/m (No. 12)
Symmetry-distinct sites (fractional):
Tb  0.2383  0.0000  0.2593 [4 per cell]  5 Se 2.82-2.95, 1 Bi 3.07
Tb  0.2381  0.1730  0.7343 [8 per cell]  5 Se 2.87-2.98, 1 Bi 3.08
Bi  0.0000  0.5000  0.0000 [2 per cell]  6 Tb 3.07-3.08
Se  0.0000  0.0000  0.5000 [2 per cell]  6 Tb 2.82-2.92
Se  0.0000  0.1681  0.0000 [4 per cell]  6 Tb 2.95-2.98
Se  0.0000  0.3403  0.5000 [4 per cell]  6 Tb 2.87-2.93

***

7.
Computed, not measured: crystalline MgCuAg2Cl6 at its relaxed geometry at the PBE level of DFT.

Properties
- Calculated density: 3.7 g cm⁻³
- Formation energy from raw total energies: -822 meV/atom

Unit cell a=6.3624 b=6.7182 c=6.7592 alpha=65.00 beta=64.24 gamma=89.91
Closest atoms and distances in Å follow each position.
Space group P1 (No. 1)
Symmetry-distinct sites (fractional):
Mg  0.0000  0.0000  0.0000 [1 per cell]  6 Cl 2.43-2.69
Cu  0.5081  0.4966  0.9983 [1 per cell]  4 Cl 2.31-2.40
Ag  0.2310  0.6234  0.5528 [1 per cell]  4 Cl 2.59-2.70
Ag  0.6974  0.1029  0.5814 [1 per cell]  5 Cl 2.63-2.88
Cl  0.0932  0.2342  0.5692 [1 per cell]  1 Mg 2.44, 2 Ag 2.63-2.70
Cl  0.2764  0.7463  0.8567 [1 per cell]  1 Cu 2.40, 1 Mg 2.62, 1 Ag 2.63
Cl  0.4012  0.2755  0.8577 [1 per cell]  1 Cu 2.31
Cl  0.6212  0.7445  0.1095 [1 per cell]  1 Cu 2.32, 1 Mg 2.59
Cl  0.7304  0.2559  0.1380 [1 per cell]  1 Cu 2.32, 1 Mg 2.59
Cl  0.9180  0.8031  0.4300 [1 per cell]  1 Mg 2.43, 1 Ag 2.59

***

8.
Computed, not measured: crystalline ThPaP3 at its relaxed geometry at the PBE level of DFT.

Properties
- Calculated density: 8.0 g cm⁻³
- Energy of formation from the pure elements: -1.126 eV per atom

Unit cell a=4.1561 b=6.0068 c=9.1900 alpha=90.00 beta=90.00 gamma=90.00
Closest atoms and distances in Å follow each position.
Space group Pmmn (No. 59, origin choice 2)
Symmetry-distinct sites (fractional):
Th  0.2500  0.2500  0.1360 [2 per cell]  8 P 2.88-3.04
Pa  0.2500  0.7500  0.3897 [2 per cell]  7 P 2.78-2.84
P  0.2500  0.5440  0.6685 [4 per cell]  1 P 2.47
P  0.2500  0.7500  0.0818 [2 per cell]  1 Pa 2.83, 4 Th 2.88-3.04

***

9.
Computed, not measured: crystalline CeMg6Ga at its relaxed geometry at the PBE level of DFT.

Properties
- Calculated density: 3.1 g cm⁻³
- Polymorph energy (0 for the lowest one): 0.00 eV per formula unit
- Energy of formation from the pure elements: -0.023 eV per atom

Unit cell a=4.9088 b=6.0244 c=12.9403 alpha=90.00 beta=90.00 gamma=90.00
Closest atoms and distances in Å follow each position.
Space group Amm2 (No. 38)
Symmetry-distinct sites (fractional):
Ce  0.0000  0.0000  0.0000 [2 per cell]  2 Ga 3.11, 6 Mg 3.23-3.27
Mg  0.0000  0.2442  0.7416 [4 per cell]  6 Mg 2.94-3.08, 1 Ga 3.00
Mg  0.5000  0.0000  0.1622 [2 per cell]  8 Mg 3.07-3.20, 2 Ce 3.23
Mg  0.5000  0.0000  0.5969 [2 per cell]  8 Mg 3.13-3.42, 2 Ga 3.18
Mg  0.5000  0.2482  0.8799 [4 per cell]  2 Ga 2.99, 6 Mg 2.99-3.20, 2 Ce 3.27
Ga  0.0000  0.0000  0.4401 [2 per cell]  8 Mg 2.99-3.18, 2 Ce 3.11

***

10.
Computed, not measured: crystalline CoCu2H at its relaxed geometry at the PBE level of DFT.

Properties
- Calculated density: 8.5 g cm⁻³
- Polymorph energy (0 for the lowest one): 0.00 eV per formula unit

Unit cell a=2.5771 b=2.5771 c=11.0298 alpha=90.00 beta=90.00 gamma=90.00
Closest atoms and distances in Å follow each position.
Space group P4/nmm (No. 129, origin choice 2)
Symmetry-distinct sites (fractional):
Co  0.2500  0.2500  0.0827 [2 per cell]  5 H 1.82
Cu  0.2500  0.2500  0.4187 [2 per cell]  12 Cu 2.55-2.58
Cu  0.2500  0.2500  0.7435 [2 per cell]  1 H 1.92
H  0.2500  0.2500  0.9173 [2 per cell]  5 Co 1.82, 1 Cu 1.92

***

Q: Which value of calculated density does entry 9 give?
A: 3.1 g cm⁻³

***

Q: Number 9 is which compound?
A: CeMg6Ga